(1)
Pr8Sb2S15: optimized geometry, PBE-GGA.

Calculated values
uncorrected formation energy = -164.2 kJ per mole of atoms

a b c (Å): 15.0216 15.0216 15.0216
angles (deg): 116.46 116.46 96.26
Sites, in units of the cell vectors:
1 Pr 0.3996 0.8931 0.7940
2 Pr 0.3556 0.6496 0.0065
3 Pr 0.8996 0.1056 0.5065
4 Pr 0.2173 0.5842 0.6722
5 Pr 0.1431 0.1496 0.2940
6 Pr 0.5991 0.3931 0.4935
7 Pr 0.3342 0.1620 0.8669
8 Pr 0.3171 0.4724 0.4299
9 Pr 0.9508 0.2801 0.3704
10 Pr 0.7173 0.0451 0.6331
11 Pr 0.4120 0.0842 0.3669
12 Pr 0.1372 0.7925 0.0701
13 Pr 0.2951 0.4673 0.1331
14 Pr 0.8171 0.3872 0.8447
15 Pr 0.0425 0.8872 0.5701
16 Pr 0.2224 0.2925 0.6553
17 Pr 0.9120 0.5451 0.3278
18 Pr 0.4097 0.7801 0.3292
19 Pr 0.8556 0.8491 0.7060
20 Pr 0.5301 0.7008 0.8704
21 Pr 0.8342 0.9673 0.1722
22 Pr 0.6372 0.5671 0.3447
23 Pr 0.0991 0.6056 0.2060
24 Pr 0.3304 0.2008 0.1708
25 Pr 0.6431 0.3491 0.9935
26 Pr 0.7224 0.0671 0.9299
27 Pr 0.9097 0.5804 0.6296
28 Pr 0.0301 0.1597 0.8292
29 Pr 0.7951 0.6620 0.8278
30 Pr 0.5425 0.9724 0.1553
31 Pr 0.4508 0.0804 0.6708
32 Pr 0.8304 0.6597 0.1296
33 Sb 0.9950 0.3148 0.1142
34 Sb 0.6308 0.2450 0.1802
35 Sb 0.1308 0.9506 0.3858
36 Sb 0.5648 0.7450 0.6142
37 Sb 0.4950 0.3808 0.6802
38 Sb 0.2006 0.8808 0.8858
39 Sb 0.0648 0.4506 0.8198
40 Sb 0.7006 0.8148 0.3198
41 S 0.3734 0.6727 0.6474
42 S 0.0522 0.3824 0.0130
43 S 0.8699 0.0664 0.8494
44 S 0.8712 0.4618 0.0871
45 S 0.4227 0.2753 0.7993
46 S 0.4760 0.6234 0.2007
47 S 0.7340 0.8433 0.8172
48 S 0.6613 0.4679 0.8871
49 S 0.8746 0.9618 0.5906
50 S 0.5253 0.1727 0.2993
51 S 0.4482 0.4386 0.3227
52 S 0.7170 0.5664 0.1965
53 S 0.1667 0.7760 0.6828
54 S 0.2340 0.4167 0.8907
55 S 0.6886 0.1982 0.8227
56 S 0.1324 0.6194 0.8303
57 S 0.0253 0.7260 0.3526
58 S 0.5260 0.3433 0.1093
59 S 0.6324 0.8022 0.5130
60 S 0.2892 0.1194 0.4870
61 S 0.1886 0.3660 0.4904
62 S 0.9227 0.1234 0.1474
63 S 0.6667 0.9840 0.3907
64 S 0.0807 0.9679 0.8066
65 S 0.7485 0.7485 0.0000
66 S 0.1613 0.2742 0.1934
67 S 0.5522 0.5392 0.6697
68 S 0.7892 0.3022 0.1697
69 S 0.7705 0.1199 0.3035
70 S 0.8755 0.6982 0.5096
71 S 0.7179 0.4113 0.3871
72 S 0.0242 0.3307 0.6129
73 S 0.0933 0.4840 0.3172
74 S 0.2705 0.9670 0.6506
75 S 0.2118 0.6246 0.0906
76 S 0.3164 0.6199 0.3494
77 S 0.8734 0.2260 0.7007
78 S 0.2179 0.8307 0.3066
79 S 0.3712 0.2841 0.4094
80 S 0.4985 0.9985 0.5000
81 S 0.9482 0.6255 0.0096
82 S 0.9985 0.4985 0.5000
83 S 0.5807 0.7742 0.1129
84 S 0.5933 0.2760 0.6093
85 S 0.8164 0.4670 0.6965
86 S 0.0341 0.1246 0.4129
87 S 0.3746 0.7841 0.9129
88 S 0.5341 0.1212 0.9094
89 S 0.0260 0.9167 0.1828
90 S 0.7118 0.6212 0.5871
91 S 0.9760 0.7753 0.8526
92 S 0.2170 0.0205 0.1506
93 S 0.3755 0.8660 0.1773
94 S 0.3694 0.0392 0.9870
95 S 0.6160 0.9386 0.9904
96 S 0.3699 0.5205 0.8035
97 S 0.2485 0.2485 0.0000
98 S 0.8694 0.8824 0.3303
99 S 0.1160 0.1255 0.6773
100 S 0.5242 0.9113 0.6934


(2)
Pr4SbS2: optimized geometry, PBE-GGA.

Calculated values
uncorrected formation energy = -144.7 kJ per mole of atoms

a b c (Å): 4.2454 7.1292 13.8964
angles (deg): 90.00 90.00 107.32
Sites, in units of the cell vectors:
1 Pr 0.7659 0.5317 0.1154
2 Pr 0.7659 0.5317 0.3846
3 Pr 0.2341 0.4683 0.8846
4 Pr 0.2341 0.4683 0.6154
5 Pr 0.9387 0.8774 0.7500
6 Pr 0.0613 0.1226 0.2500
7 Pr 0.5000 0.0000 0.0000
8 Pr 0.5000 0.0000 0.5000
9 Sb 0.6107 0.2214 0.7500
10 Sb 0.3893 0.7786 0.2500
11 S 0.1326 0.2652 0.4395
12 S 0.8674 0.7348 0.9395
13 S 0.1326 0.2652 0.0605
14 S 0.8674 0.7348 0.5605


| no. | E_tot (eV/atom) | spin magnetization (μB/f.u.) |
| --- | --- | --- |
| 1 | -6.038 | 0.000 |
| 2 | -5.999 | 0.218 |